(1)
AlHSCl2 | Alexandria | GGA-PBEsol | relaxed; magnetic moment = 0.10 μB per formula unit; SG = No. 123; final energy = -3.231 eV/atom; N(E_F) = 0.696 states/eV/atom
1.0
4.605 0.000 0.000
0.000 4.663 0.000
0.000 0.000 4.663
Cl H Al S
2 1 1 1
Cartesian
0.000 2.331 0.000
0.000 0.000 2.331
2.302 2.331 2.331
0.000 0.000 0.000
2.302 0.000 0.000

***

(2)
Hf2AlCl | Alexandria | GGA-PBEsol | relaxed; ΔE_f (raw) = 0.23 eV per atom; magnetic moment = 0.00 μB per formula unit; SG = No. 122; N(E_F) = 0.693 states/eV/atom
1.0
-3.874 -1.312 0.062
0.709 -2.251 -3.341
4.225 -5.754 7.278
Hf Al Cl
4 2 2
Cartesian
-2.052 -3.426 0.620
1.188 -6.533 3.423
0.209 -3.905 -1.080
2.776 -4.770 5.035
-0.616 -4.424 2.850
-1.582 -1.782 -1.640
0.000 0.000 0.000
1.676 -4.893 1.149

***

(3)
AlHg4Cl | Alexandria | GGA-PBEsol | relaxed; ΔE_f (raw) = 0.08 eV per atom; magnetic moment = 0.00 μB per formula unit; SG = No. 216; N(E_F) = 0.195 states/eV/atom
1.0
5.947 0.000 0.000
2.973 5.150 0.000
2.973 1.717 4.856
Hg Cl Al
4 1 1
Cartesian
5.947 3.433 4.251
7.436 2.574 1.820
4.458 2.574 1.820
5.947 5.152 1.820
0.000 0.000 0.000
8.920 5.150 3.642

***

(4)
Al2HgCl | Alexandria | GGA-PBEsol | relaxed; ΔE_f (raw) = 0.11 eV per atom; magnetic moment = 0.00 μB per formula unit; SG = No. 122; offset from the most stable computed form = 0.191 eV/atom; N(E_F) = 0.513 states/eV/atom
1.0
-2.661 1.778 4.898
0.063 -5.488 2.026
6.894 2.901 -0.803
Hg Al Cl
2 4 2
Cartesian
2.829 -2.221 2.343
0.000 0.000 0.000
0.816 -3.434 3.344
-0.616 0.247 4.910
3.547 -0.216 3.753
4.845 1.785 0.237
1.467 1.412 3.779
-1.299 -1.855 3.462

***

(5)
Al2HgCl | Alexandria | GGA-PBEsol | relaxed; ΔE_f (raw) = -0.08 eV per atom; magnetic moment = 0.00 μB per formula unit; SG = No. 44; offset from the most stable computed form = 0.000 eV/atom; N(E_F) = 0.349 states/eV/atom
1.0
-2.169 -1.422 -1.377
1.672 -3.972 1.469
-3.201 3.100 4.969
Hg Al Cl
1 2 1
Cartesian
-1.195 -1.749 3.688
-0.004 0.001 0.006
-2.452 -0.551 1.300
-0.294 -2.692 0.112

***

(6)
AlHgCl2 | Alexandria | GGA-PBEsol | relaxed; ΔE_f (raw) = -0.55 eV per atom; magnetic moment = 0.00 μB per formula unit; SG = No. 227; N(E_F) = 0.043 states/eV/atom
1.0
7.710 0.000 0.000
3.855 6.677 0.000
3.855 2.226 6.295
Al Cl Hg
2 4 2
Cartesian
3.855 2.226 1.574
0.000 0.000 0.000
5.782 1.113 0.787
3.855 4.451 0.787
1.927 1.113 0.787
3.855 2.226 3.934
7.710 4.451 3.148
11.565 6.677 4.721

***

(7)
AlHg2Cl | Alexandria | GGA-PBEsol | relaxed; ΔE_f (raw) = -0.16 eV per atom; magnetic moment = 0.00 μB per formula unit; SG = No. 99; offset from the most stable computed form = 0.090 eV/atom; N(E_F) = 0.259 states/eV/atom
1.0
-0.934 2.069 2.194
1.875 -1.400 2.119
6.940 5.669 -2.394
Hg Al Cl
2 1 1
Cartesian
0.092 0.075 -0.032
2.455 1.955 1.472
3.600 2.941 -1.242
5.205 4.202 0.523

***

(8)
Al2HgCl | Alexandria | GGA-PBEsol | relaxed; ΔE_f (raw) = 0.06 eV per atom; magnetic moment = 0.00 μB per formula unit; SG = No. 225; offset from the most stable computed form = 0.137 eV/atom; N(E_F) = 0.670 states/eV/atom
1.0
4.824 0.000 0.000
2.412 4.178 0.000
2.412 1.393 3.939
Al Hg Cl
2 1 1
Cartesian
2.412 1.393 0.985
7.236 4.178 2.954
4.824 2.785 1.969
0.000 0.000 0.000